Below is a relaxed structure of SrEu3Ni2O8, with properties calculated at the PBE+U level. Values from VASP.

D(E_F)	2.1851	states/eV per atom
E_tot	-7.639	eV per atom

Quantum ESPRESSO input file:
```
&SYSTEM
  ibrav = 0, nat = 14, ntyp = 4
/
ATOMIC_SPECIES
Eu 151.96 Eu.upf
Ni 58.69 Ni.upf
O 16.00 O.upf
Sr 87.62 Sr.upf
CELL_PARAMETERS angstrom
6.717 0.018 0.000
-4.560 4.931 0.000
0.000 0.000 5.384
ATOMIC_POSITIONS crystal
Eu 0.861 0.139 0.500
Eu 0.640 0.360 0.000
Eu 0.140 0.860 0.500
Ni 0.999 0.001 0.000
Ni 0.498 0.502 0.500
O 0.673 0.327 0.500
O 0.829 0.171 0.000
O 0.757 0.751 0.253
O 0.161 0.839 0.000
O 0.249 0.243 0.747
O 0.757 0.751 0.747
O 0.328 0.672 0.500
O 0.249 0.243 0.253
Sr 0.358 0.642 0.000
```